La3PrNdTm | GGA-PBE | optimized geometry

extended XYZ file:
```
12
Lattice="-0.4338 -3.2748 4.9209 9.0104 6.0481 1.2500 -3.8473 4.8997 2.9216" Properties=species:S:1:pos:R:3 pbc="T T T"
Pr 2.3054 -0.2133 3.6306
Pr 2.4239 7.8863 5.4620
Tm 0.4209 1.9674 4.9157
Tm 4.3085 5.7056 4.1768
La -2.8286 2.1885 4.7764
La 7.5579 5.4844 4.3161
La -0.0899 5.1152 3.3962
La 2.7914 3.2916 2.4366
La 4.8192 2.5578 5.6963
La 1.9379 4.3814 6.6559
Nd 4.7110 5.8574 7.8827
Nd 0.0183 1.8156 1.2099
```

## Properties
Energy (hartree per atom): -0.1712
Space group: C2/m



In2SbPb2 | GGA-PBE | optimized geometry

extended XYZ file:
```
5
Lattice="4.3614 0.0000 0.0000 0.0000 4.3614 0.0000 2.1807 2.1807 8.2920" Properties=species:S:1:pos:R:3 pbc="T T T"
In 2.1807 2.1807 1.4913
In 4.3614 4.3614 6.8008
Sb 0.0000 0.0000 0.0000
Pb 4.3614 2.1807 4.1460
Pb 2.1807 4.3614 4.1460
```

## Properties
Uncorrected formation energy (eV/atom): 0.22
Relative energy among the computed polymorphs (eV/atom): 0.1165
Energy (hartree per atom): -0.1169
Space group: I4/mmm



Tm2I2O | GGA-PBE | optimized geometry

extended XYZ file:
```
5
Lattice="-1.5202 -1.1389 -3.7557 1.4241 -3.9131 0.6102 -12.4024 -3.5622 6.1003" Properties=species:S:1:pos:R:3 pbc="T T T"
O -0.0480 -2.5260 -1.5727
Tm -1.7948 -3.0277 -0.7135
Tm -10.7037 -5.5865 3.6684
I -4.2335 -3.7282 0.4860
I -8.2650 -4.8861 2.4689
```

## Properties
Uncorrected formation energy (eV/atom): -0.97
Relative energy among the computed polymorphs (eV/atom): 0.9625
Energy (hartree per atom): -0.1605
Space group: P4/mmm



KTl2 | GGA-PBE | optimized geometry

extended XYZ file:
```
6
Lattice="2.9138 -5.0469 0.0000 2.9138 5.0469 0.0000 0.0000 0.0000 7.0353" Properties=species:S:1:pos:R:3 pbc="T T T"
Tl 0.0000 0.0000 3.5177
Tl 2.9138 -1.6823 5.2765
Tl 0.0000 0.0000 0.0000
Tl 2.9138 1.6823 1.7588
K 2.9138 1.6823 5.2765
K 2.9138 -1.6823 1.7588
```

## Properties
Relative energy among the computed polymorphs (eV/atom): 0.1040
Energy (hartree per atom): -0.0718
Space group: P6_3/mmc



Th6HPb3 | GGA-PBE | optimized geometry

extended XYZ file:
```
20
Lattice="-5.0322 0.6497 3.1563 -4.9074 -6.5586 -6.4741 4.8237 -3.7559 8.4638" Properties=species:S:1:pos:R:3 pbc="T T T"
H -6.1300 -5.6021 -1.5671
H 2.2878 -4.2272 5.9143
Pb -3.8829 -5.0296 1.4954
Pb 0.3914 -8.3008 3.3132
Pb 0.4475 -1.3841 1.9789
Pb -3.9196 -8.4930 2.1360
Pb 0.3986 -4.8459 2.6272
Pb -3.8635 -1.5762 0.8018
Th 3.6723 -3.9004 7.6665
Th -2.3224 -6.2873 4.2872
Th -7.1694 -5.9734 -3.5358
Th -1.2019 -3.5831 -0.1395
Th -1.2298 -7.0221 0.5239
Th -6.3433 -7.0938 0.1639
Th -6.3147 -3.5704 -0.5158
Th -2.2945 -2.8482 3.6238
Th 0.9032 -6.0563 5.8472
Th -3.8308 -5.6838 -1.8941
Th -1.4766 -3.9563 7.1602
Th 0.9318 -2.5328 5.1675
```

## Properties
Energy (hartree per atom): -0.2246
Space group: Cmc2_1



Ni2HgBi2 | GGA-PBE | optimized geometry

extended XYZ file:
```
5
Lattice="5.3296 0.0000 0.0000 0.0000 5.3296 0.0000 2.6648 2.6648 3.8350" Properties=species:S:1:pos:R:3 pbc="T T T"
Bi 2.6648 5.3296 1.9175
Bi 5.3296 2.6648 1.9175
Ni 2.6648 2.6648 1.1508
Ni 5.3296 5.3296 2.6842
Hg 0.0000 0.0000 0.0000
```

## Properties
Relative energy among the computed polymorphs (eV/atom): 0.1686
Energy (hartree per atom): -0.1347
Space group: I4/mmm



NbGe3Br | GGA-PBE | optimized geometry

extended XYZ file:
```
5
Lattice="-0.0241 -1.2333 -4.9495 3.1108 -3.9261 0.9631 -4.0424 -3.0139 0.7707" Properties=species:S:1:pos:R:3 pbc="T T T"
Ge -2.0212 -1.5070 0.3853
Ge 1.5554 -1.9630 0.4816
Ge -0.0121 -0.6167 -2.4747
Br -0.4779 -4.0866 -1.6078
Nb 0.0000 0.0000 0.0000
```

## Properties
Uncorrected formation energy (eV/atom): 0.34
Relative energy among the computed polymorphs (eV/atom): 0.0000
Energy (hartree per atom): -0.1755
Space group: Pm-3m